VASP calculation (PBE with a Hubbard U) on a relaxed structure of CrMoCl2F.

Values from the calculation:
total magnetic moment: 9.000 μB per cell
energy: -24.365 eV for the cell shown
DOS(E_F): 0.095 states/eV per atom

Lattice parameters (Å, degrees): 5.306 5.306 4.205 90.00 90.00 90.00
Sites, in units of the cell vectors:
Cr: 0.000 0.000 0.000
Mo: 0.500 0.500 0.500
Cl: 0.000 0.500 0.500
Cl: 0.500 0.000 0.500
F: 0.500 0.500 0.000